# 1
Tm3Bi2Pt: optimized geometry, PBE-GGA.

It has space group Cmmm (No. 65), with a = 6.067 Å, b = 14.782 Å, c = 4.134 Å, α = 90.00°, β = 90.00° and γ = 90.00°. Symmetry generates all atoms from Tm at (0.000, 0.000, 0.000), Tm at (0.000, 0.374, 0.500), Bi at (0.000, 0.161, 0.500) and Pt at (0.000, 0.500, 0.000).

The energy of formation from the pure elements comes out at -0.65 eV/atom. The value obtained for the volume is 185 Å³/f.u. As for the energy: -5.182 eV/atom.

***

# 2
Al2CuSi: optimized geometry, PBE-GGA.

It has space group I-4m2 (No. 119), with a = 3.767 Å, b = 3.767 Å, c = 8.229 Å, α = 90.00°, β = 90.00° and γ = 90.00°. Symmetry generates all atoms from Al at (0.000, 0.000, 0.000), Al at (0.000, 0.500, 0.250), Cu at (0.000, 0.500, 0.750) and Si at (0.000, 0.000, 0.500).

The value obtained for the volume is 58 Å³/f.u. The uncorrected formation energy is 0.075 eV/atom. As for the energy: -4.176 eV/atom.

***

# 3
V4Ni5Rh4: optimized geometry, PBE-GGA.

It has space group I4/m (No. 87), with a = 9.407 Å, b = 9.407 Å, c = 3.742 Å, α = 90.00°, β = 90.00° and γ = 90.00°. Symmetry generates all atoms from V at (0.136, 0.229, 0.000), Ni at (0.000, 0.000, 0.000), Ni at (0.045, 0.819, 0.500) and Rh at (0.096, 0.629, 0.000).

The energy of formation from the pure elements comes out at -0.25 eV/atom. The value obtained for the volume is 166 Å³/f.u. As for the energy: -7.539 eV/atom.

***

# 4
AlSe3: optimized geometry, PBE-GGA.

It has space group P-6m2 (No. 187), with a = 3.6185 Å, b = 3.6185 Å, c = 7.5741 Å, α = 90.00°, β = 90.00° and γ = 120.00°. Symmetry generates all atoms from Al at (0.0000, 0.0000, 0.0000), Se at (0.0000, 0.0000, 0.5000) and Se at (0.6667, 0.3333, 0.2031).

The calculation puts the polymorph energy (0 for the lowest one) at 223 meV/atom. The value obtained for the volume is 86 Å³/f.u. The uncorrected formation energy is -0.061 eV/atom. As for the energy: -3.610 eV/atom.

***

# 5
Zn2GaCo: optimized geometry, PBE-GGA.

It has space group P4/mmm (No. 123), with a = 3.685 Å, b = 3.685 Å, c = 3.899 Å, α = 90.00°, β = 90.00° and γ = 90.00°. Symmetry generates all atoms from Zn at (0.000, 0.500, 0.000), Ga at (0.000, 0.000, 0.500) and Co at (0.500, 0.500, 0.500).

The energy of formation from the pure elements comes out at -0.04 eV/atom. The value obtained for the volume is 53 Å³/f.u. As for the energy: -3.214 eV/atom.

***

# 6
Ti5NiSn: optimized geometry, PBE-GGA.

It has space group C2/c (No. 15), with a = 9.174 Å, b = 6.772 Å, c = 9.155 Å, α = 90.00°, β = 116.49° and γ = 90.00°. Symmetry generates all atoms from Ti at (0.000, 0.053, 0.250), Ti at (0.124, 0.353, 0.505), Ti at (0.203, 0.311, 0.199), Ni at (0.000, 0.000, 0.000) and Sn at (0.000, 0.369, 0.750).

The energy of formation from the pure elements comes out at 0.11 eV/atom. The value obtained for the volume is 127 Å³/f.u. As for the energy: -6.927 eV/atom.

***

# 7
CrCd2Sb: optimized geometry, PBE-GGA.

It has space group Immm (No. 71), with a = 3.130 Å, b = 4.431 Å, c = 13.113 Å, α = 90.00°, β = 90.00° and γ = 90.00°. Symmetry generates all atoms from Cr at (0.000, 0.000, 0.000), Cd at (0.000, 0.500, 0.305) and Sb at (0.000, 0.000, 0.500).

The value obtained for the volume is 91 Å³/f.u. The uncorrected formation energy is 0.232 eV/atom. As for the energy: -3.662 eV/atom.

***

# 8
CsTePS2: optimized geometry, PBE-GGA.

It has space group P4/mmm (No. 123), with a = 5.361 Å, b = 5.361 Å, c = 7.035 Å, α = 90.00°, β = 90.00° and γ = 90.00°. Symmetry generates all atoms from Cs at (0.000, 0.000, 0.000), Te at (0.500, 0.500, 0.500), P at (0.000, 0.000, 0.500) and S at (0.000, 0.500, 0.000).

The calculation puts the polymorph energy (0 for the lowest one) at 1413 meV/atom. The value obtained for the volume is 202 Å³/f.u. The uncorrected formation energy is 1.553 eV/atom. As for the energy: -1.979 eV/atom.

***

# 9
SrMn: optimized geometry, PBE-GGA.

It has space group P4/m (No. 83), with a = 11.304 Å, b = 11.304 Å, c = 4.077 Å, α = 90.00°, β = 90.00° and γ = 90.00°. Symmetry generates all atoms from Sr at (0.023, 0.236, 0.000), Sr at (0.299, 0.665, 0.500), Mn at (0.072, 0.432, 0.500) and Mn at (0.112, 0.516, 0.000).

The energy of formation from the pure elements comes out at 0.49 eV/atom. The value obtained for the volume is 65 Å³/f.u. As for the energy: -4.938 eV/atom.

***

# 10
Ce2YPa: optimized geometry, PBE-GGA.

It has space group R3m (No. 160, hexagonal axes), with a = 3.3368 Å, b = 3.3368 Å, c = 34.5180 Å, α = 90.00°, β = 90.00° and γ = 120.00°. Symmetry generates all atoms from Ce at (0.0000, 0.0000, 0.0000), Ce at (0.0000, 0.0000, 0.1602), Y at (0.0000, 0.0000, 0.5811) and Pa at (0.0000, 0.0000, 0.4132).

The calculation puts the polymorph energy (0 for the lowest one) at 34 meV/atom. The energy of formation from the pure elements comes out at 0.12 eV/atom. The value obtained for the volume is 111 Å³/f.u. As for the energy: -6.835 eV/atom.

***

# 11
Sc6InGa5: optimized geometry, PBE-GGA.

It has space group C2/m (No. 12), with a = 5.862 Å, b = 10.011 Å, c = 8.857 Å, α = 90.00°, β = 102.09° and γ = 90.00°. Symmetry generates all atoms from Sc at (0.230, 0.000, 0.245), Sc at (0.239, 0.172, 0.738), In at (0.000, 0.500, 0.000), Ga at (0.000, 0.000, 0.500), Ga at (0.000, 0.178, 0.000) and Ga at (0.000, 0.351, 0.500).

The calculation puts the polymorph energy (0 for the lowest one) at 142 meV/atom. The energy of formation from the pure elements comes out at -0.41 eV/atom. The value obtained for the volume is 254 Å³/f.u. As for the energy: -5.065 eV/atom.

***

# 12
Ho6ErCo3: optimized geometry, PBE-GGA.

It has space group Cmc2_1 (No. 36), with a = 11.401 Å, b = 12.171 Å, c = 7.148 Å, α = 90.00°, β = 90.00° and γ = 90.00°. Symmetry generates all atoms from Ho at (0.000, 0.025, 0.000), Ho at (0.000, 0.331, 0.255), Ho at (0.215, 0.500, 0.252), Ho at (0.247, 0.249, 0.012), Er at (0.000, 0.318, 0.753), Co at (0.000, 0.498, 0.004) and Co at (0.109, 0.139, 0.276).

The energy of formation from the pure elements comes out at -0.07 eV/atom. The value obtained for the volume is 248 Å³/f.u. As for the energy: -5.402 eV/atom.

***

# 13
CaMn4Al: optimized geometry, PBE-GGA.

It has space group F-43m (No. 216), with a = 6.921 Å, b = 6.921 Å, c = 6.921 Å, α = 90.00°, β = 90.00° and γ = 90.00°. Symmetry generates all atoms from Ca at (0.000, 0.000, 0.000), Mn at (0.124, 0.124, 0.624) and Al at (0.250, 0.250, 0.250).

The energy of formation from the pure elements comes out at 0.28 eV/atom. The value obtained for the volume is 83 Å³/f.u. As for the energy: -6.791 eV/atom.

***

# 14
SnH: optimized geometry, PBE-GGA.

It has space group I-43m (No. 217), with a = 6.958 Å, b = 6.958 Å, c = 6.958 Å, α = 90.00°, β = 90.00° and γ = 90.00°. Symmetry generates all atoms from Sn at (0.173, 0.173, 0.827) and H at (0.121, 0.121, 0.121).

The calculation puts the polymorph energy (0 for the lowest one) at 398 meV/atom. The value obtained for the volume is 42 Å³/f.u. As for the energy: -3.210 eV/atom.

***

# 15
Nb2CrBiPt: optimized geometry, PBE-GGA.

It has space group P4/mmm (No. 123), with a = 4.937 Å, b = 4.937 Å, c = 4.920 Å, α = 90.00°, β = 90.00° and γ = 90.00°. Symmetry generates all atoms from Nb at (0.000, 0.500, 0.000), Cr at (0.000, 0.000, 0.500), Bi at (0.500, 0.500, 0.500) and Pt at (0.000, 0.000, 0.000).

The energy of formation from the pure elements comes out at 0.81 eV/atom. The value obtained for the volume is 120 Å³/f.u. As for the energy: -7.122 eV/atom.

***

# 16
CoIrSeN2: optimized geometry, PBE-GGA.

It has space group P4/mmm (No. 123), with a = 3.474 Å, b = 3.474 Å, c = 7.385 Å, α = 90.00°, β = 90.00° and γ = 90.00°. Symmetry generates all atoms from Co at (0.000, 0.000, 0.000), Ir at (0.500, 0.500, 0.500), Se at (0.000, 0.000, 0.500) and N at (0.000, 0.500, 0.000).

The calculation puts the polymorph energy (0 for the lowest one) at 280 meV/atom. The value obtained for the volume is 89 Å³/f.u. The uncorrected formation energy is 1.269 eV/atom. As for the energy: -5.951 eV/atom.

***

# 17
UBe2F8: optimized geometry, PBE-GGA.

It has space group C2/c (No. 15), with a = 11.709 Å, b = 6.552 Å, c = 10.271 Å, α = 90.00°, β = 124.09° and γ = 90.00°. Symmetry generates all atoms from U at (0.000, 0.059, 0.250), Be at (0.142, 0.226, 0.583), F at (0.034, 0.325, 0.417), F at (0.088, 0.206, 0.692), F at (0.146, 0.006, 0.522) and F at (0.217, 0.166, 0.329).

The calculation puts the polymorph energy (0 for the lowest one) at 0 meV/atom. The value obtained for the volume is 163 Å³/f.u. The uncorrected formation energy is -3.359 eV/atom. As for the energy: -6.424 eV/atom.

***

# 18
Pr7Y4Er: optimized geometry, PBE-GGA.

It has space group C2/m (No. 12), with a = 12.194 Å, b = 6.105 Å, c = 12.880 Å, α = 90.00°, β = 117.46° and γ = 90.00°. Symmetry generates all atoms from Pr at (0.000, 0.000, 0.000), Pr at (0.131, 0.500, 0.500), Pr at (0.211, 0.000, 0.922), Pr at (0.250, 0.000, 0.686), Y at (0.060, 0.000, 0.323), Y at (0.130, 0.500, 0.776) and Er at (0.000, 0.500, 0.000).

The energy of formation from the pure elements comes out at 0.25 eV/atom. The value obtained for the volume is 425 Å³/f.u. As for the energy: -5.075 eV/atom.

***

# 19
TlNiS2Cl: optimized geometry, PBE-GGA.

It has space group P4/mmm (No. 123), with a = 5.132 Å, b = 5.132 Å, c = 5.236 Å, α = 90.00°, β = 90.00° and γ = 90.00°. Symmetry generates all atoms from Tl at (0.000, 0.000, 0.000), Ni at (0.500, 0.500, 0.500), S at (0.000, 0.500, 0.000) and Cl at (0.000, 0.000, 0.500).

The calculation puts the polymorph energy (0 for the lowest one) at 978 meV/atom. The value obtained for the volume is 138 Å³/f.u. The uncorrected formation energy is 0.903 eV/atom. As for the energy: -2.746 eV/atom.

***

# 20
Er2P3Pd5: optimized geometry, PBE-GGA.

It has space group Cmc2_1 (No. 36), with a = 4.148 Å, b = 23.473 Å, c = 6.882 Å, α = 90.00°, β = 90.00° and γ = 90.00°. Symmetry generates all atoms from Er at (0.000, 0.024, 0.000), Er at (0.000, 0.326, 0.038), P at (0.000, 0.109, 0.707), P at (0.000, 0.270, 0.586), P at (0.000, 0.455, 0.787), Pd at (0.000, 0.099, 0.350), Pd at (0.000, 0.199, 0.880), Pd at (0.000, 0.223, 0.279), Pd at (0.000, 0.371, 0.572) and Pd at (0.000, 0.445, 0.195).

The energy of formation from the pure elements comes out at -0.90 eV/atom. The value obtained for the volume is 168 Å³/f.u. As for the energy: -6.036 eV/atom.

***

# 21
GaNiAs2Br: optimized geometry, PBE-GGA.

It has space group P4/mmm (No. 123), with a = 4.888 Å, b = 4.888 Å, c = 5.152 Å, α = 90.00°, β = 90.00° and γ = 90.00°. Symmetry generates all atoms from Ga at (0.000, 0.000, 0.000), Ni at (0.500, 0.500, 0.500), As at (0.000, 0.500, 0.000) and Br at (0.000, 0.000, 0.500).

The calculation puts the polymorph energy (0 for the lowest one) at 761 meV/atom. The value obtained for the volume is 123 Å³/f.u. The uncorrected formation energy is 0.956 eV/atom. As for the energy: -3.000 eV/atom.

***

# 22
NbV4Au: optimized geometry, PBE-GGA.

It has space group F-43m (No. 216), with a = 7.103 Å, b = 7.103 Å, c = 7.103 Å, α = 90.00°, β = 90.00° and γ = 90.00°. Symmetry generates all atoms from Nb at (0.000, 0.000, 0.000), V at (0.128, 0.128, 0.628) and Au at (0.250, 0.250, 0.250).

The energy of formation from the pure elements comes out at 0.03 eV/atom. The value obtained for the volume is 90 Å³/f.u. As for the energy: -8.277 eV/atom.

***

# 23
NaHo2Th: optimized geometry, PBE-GGA.

It has space group R-3m (No. 166, hexagonal axes), with a = 3.5386 Å, b = 3.5386 Å, c = 37.5100 Å, α = 90.00°, β = 90.00° and γ = 120.00°. Symmetry generates all atoms from Na at (0.0000, 0.0000, 0.0000), Ho at (0.0000, 0.0000, 0.0933) and Th at (0.0000, 0.0000, 0.5000).

The calculation puts the polymorph energy (0 for the lowest one) at 44 meV/atom. The energy of formation from the pure elements comes out at 0.15 eV/atom. The value obtained for the volume is 136 Å³/f.u. As for the energy: -4.321 eV/atom.